DFT (PBE) results for an optimized crystal structure of Pm3UAg3Se8.

Summary:
size of the total moment	0.13	μB/atom
formation energy (no corrections)	-1.15	eV/atom
V	26.8	A^3/atom

abc: 8.051 8.051 8.064
angles: 115.97 115.97 64.10
Element x y z (fractional)
Pm1 0.000 0.000 0.000
Pm2 0.000 0.500 0.500
Pm3 0.500 0.000 0.500
U1 0.500 0.500 0.000
Ag1 0.000 0.500 0.000
Ag2 0.500 0.000 0.000
Ag3 0.500 0.500 0.500
Se1 0.252 0.252 0.249
Se2 0.256 0.256 0.757
Se3 0.256 0.742 0.243
Se4 0.258 0.744 0.757
Se5 0.742 0.256 0.243
Se6 0.744 0.258 0.757
Se7 0.744 0.744 0.243
Se8 0.748 0.748 0.751